# PmNd2Tm6, optimized geometry, DFT PBE-GGA
# * magnetization: 0.00 μB/cell
# * VASP energy: -4.46 eV/atom
# * calculated formation energy: 10.04 kJ/mol of atoms
data_PmNd2Tm6
_cell_length_a 12.810
_cell_length_b 14.082
_cell_length_c 6.543
_cell_angle_alpha 90.00
_cell_angle_beta 102.73
_cell_angle_gamma 90.00
_symmetry_space_group_name_H-M 'C 1 2/c 1'
_symmetry_Int_Tables_number 15
_symmetry_space_group_name_Hall '-C 2yc'
loop_
_atom_site_label
_atom_site_fract_x
_atom_site_fract_y
_atom_site_fract_z
_atom_site_occupancy
Pm1 0.000 0.120 0.250 1
Nd1 0.143 0.472 0.374 1
Tm1 0.034 0.311 0.000 1
Tm2 0.132 0.087 0.818 1
Tm3 0.241 0.297 0.735 1

# Pm2Nd3Tm8, optimized geometry, DFT PBE-GGA
# * magnetization: 0.00 μB/cell
# * VASP energy: -4.56 eV/atom
# * calculated formation energy: 2.29 kJ/mol of atoms
data_Pm2Nd3Tm8
_cell_length_a 6.159
_cell_length_b 6.174
_cell_length_c 11.225
_cell_angle_alpha 89.84
_cell_angle_beta 79.37
_cell_angle_gamma 80.38
_symmetry_space_group_name_H-M 'P -1'
_symmetry_Int_Tables_number 2
_symmetry_space_group_name_Hall '-P 1'
loop_
_atom_site_label
_atom_site_fract_x
_atom_site_fract_y
_atom_site_fract_z
_atom_site_occupancy
Pm1 0.116 0.230 0.038 1
Nd1 0.269 0.538 0.422 1
Nd2 0.500 0.000 0.500 1
Tm1 0.037 0.075 0.344 1
Tm2 0.192 0.386 0.733 1
Tm3 0.347 0.692 0.115 1
Tm4 0.424 0.847 0.809 1

# Pm2Nd6Tm, optimized geometry, DFT PBE-GGA
# * magnetization: 0.00 μB/cell
# * VASP energy: -4.60 eV/atom
# * calculated formation energy: 12.59 kJ/mol of atoms
data_Pm2Nd6Tm
_cell_length_a 9.512
_cell_length_b 17.922
_cell_length_c 3.669
_cell_angle_alpha 90.00
_cell_angle_beta 90.00
_cell_angle_gamma 90.00
_symmetry_space_group_name_H-M 'C m m m'
_symmetry_Int_Tables_number 65
_symmetry_space_group_name_Hall '-C 2 2'
loop_
_atom_site_label
_atom_site_fract_x
_atom_site_fract_y
_atom_site_fract_z
_atom_site_occupancy
Pm1 0.000 0.175 0.000 1
Nd1 0.175 0.336 0.500 1
Nd2 0.185 0.500 0.000 1
Tm1 0.000 0.000 0.500 1

# Pm3NdTm6, optimized geometry, DFT PBE-GGA
# * magnetization: 0.01 μB/cell
# * VASP energy: -4.44 eV/atom
# * calculated formation energy: 14.38 kJ/mol of atoms
data_Pm3NdTm6
_cell_length_a 11.048
_cell_length_b 18.913
_cell_length_c 6.197
_cell_angle_alpha 90.00
_cell_angle_beta 90.00
_cell_angle_gamma 90.00
_symmetry_space_group_name_H-M 'C m c 21'
_symmetry_Int_Tables_number 36
_symmetry_space_group_name_Hall 'C 2c -2'
loop_
_atom_site_label
_atom_site_fract_x
_atom_site_fract_y
_atom_site_fract_z
_atom_site_occupancy
Pm1 0.000 0.107 0.000 1
Pm2 0.174 0.391 0.396 1
Nd1 0.000 0.293 0.085 1
Tm1 0.000 0.216 0.573 1
Tm2 0.000 0.454 0.847 1
Tm3 0.165 0.049 0.464 1
Tm4 0.248 0.288 0.802 1

# PmNd2Tm5, optimized geometry, DFT PBE-GGA
# * magnetization: 0.00 μB/cell
# * VASP energy: -4.40 eV/atom
# * calculated formation energy: 17.45 kJ/mol of atoms
data_PmNd2Tm5
_cell_length_a 16.195
_cell_length_b 9.861
_cell_length_c 6.478
_cell_angle_alpha 90.00
_cell_angle_beta 97.69
_cell_angle_gamma 90.00
_symmetry_space_group_name_H-M 'C 1 2/c 1'
_symmetry_Int_Tables_number 15
_symmetry_space_group_name_Hall '-C 2yc'
loop_
_atom_site_label
_atom_site_fract_x
_atom_site_fract_y
_atom_site_fract_z
_atom_site_occupancy
Pm1 0.250 0.250 0.000 1
Nd1 0.077 0.246 0.113 1
Tm1 0.000 0.442 0.750 1
Tm2 0.100 0.089 0.644 1
Tm3 0.196 0.411 0.522 1

# Pm7NdTm2, optimized geometry, DFT PBE-GGA
# * magnetization: 0.00 μB/cell
# * VASP energy: -4.05 eV/atom
# * calculated formation energy: 62.47 kJ/mol of atoms
data_Pm7NdTm2
_cell_length_a 8.928
_cell_length_b 16.040
_cell_length_c 5.747
_cell_angle_alpha 90.00
_cell_angle_beta 90.00
_cell_angle_gamma 90.00
_symmetry_space_group_name_H-M 'C m m m'
_symmetry_Int_Tables_number 65
_symmetry_space_group_name_Hall '-C 2 2'
loop_
_atom_site_label
_atom_site_fract_x
_atom_site_fract_y
_atom_site_fract_z
_atom_site_occupancy
Pm1 0.000 0.000 0.000 1
Pm2 0.000 0.271 0.500 1
Pm3 0.179 0.383 0.000 1
Nd1 0.000 0.500 0.500 1
Tm1 0.000 0.204 0.000 1

# PmNd4Tm7, optimized geometry, DFT PBE-GGA
# * magnetization: 0.00 μB/cell
# * VASP energy: -4.57 eV/atom
# * calculated formation energy: 2.23 kJ/mol of atoms
data_PmNd4Tm7
_cell_length_a 7.113
_cell_length_b 7.954
_cell_length_c 7.963
_cell_angle_alpha 95.91
_cell_angle_beta 116.36
_cell_angle_gamma 102.55
_symmetry_space_group_name_H-M 'P -1'
_symmetry_Int_Tables_number 2
_symmetry_space_group_name_Hall '-P 1'
loop_
_atom_site_label
_atom_site_fract_x
_atom_site_fract_y
_atom_site_fract_z
_atom_site_occupancy
Pm1 0.000 0.000 0.000 1
Nd1 0.248 0.332 0.831 1
Nd2 0.499 0.668 0.665 1
Tm1 0.002 0.669 0.668 1
Tm2 0.249 0.668 0.166 1
Tm3 0.251 0.001 0.501 1
Tm4 0.500 0.000 0.000 1

# PmNd3Tm7, optimized geometry, DFT PBE-GGA
# * magnetization: 0.00 μB/cell
# * VASP energy: -4.42 eV/atom
# * calculated formation energy: 15.23 kJ/mol of atoms
data_PmNd3Tm7
_cell_length_a 6.964
_cell_length_b 5.489
_cell_length_c 9.990
_cell_angle_alpha 90.00
_cell_angle_beta 110.28
_cell_angle_gamma 90.00
_symmetry_space_group_name_H-M 'P 1 2/m 1'
_symmetry_Int_Tables_number 10
_symmetry_space_group_name_Hall '-P 2y'
loop_
_atom_site_label
_atom_site_fract_x
_atom_site_fract_y
_atom_site_fract_z
_atom_site_occupancy
Pm1 0.000 0.000 0.000 1
Nd1 0.216 0.500 0.501 1
Nd2 0.500 0.000 0.000 1
Tm1 0.083 0.000 0.670 1
Tm2 0.180 0.500 0.861 1
Tm3 0.354 0.500 0.211 1
Tm4 0.500 0.000 0.500 1

# Pm3NdTm5, optimized geometry, DFT PBE-GGA
# * magnetization: 0.00 μB/cell
# * VASP energy: -4.34 eV/atom
# * calculated formation energy: 24.51 kJ/mol of atoms
data_Pm3NdTm5
_cell_length_a 8.666
_cell_length_b 8.666
_cell_length_c 15.421
_cell_angle_alpha 90.00
_cell_angle_beta 90.00
_cell_angle_gamma 90.00
_symmetry_space_group_name_H-M 'I 4/m c m'
_symmetry_Int_Tables_number 140
_symmetry_space_group_name_Hall '-I 4 2c'
loop_
_atom_site_label
_atom_site_fract_x
_atom_site_fract_y
_atom_site_fract_z
_atom_site_occupancy
Pm1 0.000 0.000 0.250 1
Pm2 0.117 0.383 0.000 1
Nd1 0.000 0.500 0.250 1
Tm1 0.000 0.000 0.000 1
Tm2 0.209 0.291 0.363 1

# PmNd3Tm4, optimized geometry, DFT PBE-GGA
# * magnetization: 0.00 μB/cell
# * VASP energy: -4.59 eV/atom
# * calculated formation energy: 2.60 kJ/mol of atoms
data_PmNd3Tm4
_cell_length_a 11.464
_cell_length_b 7.300
_cell_length_c 6.273
_cell_angle_alpha 90.00
_cell_angle_beta 90.00
_cell_angle_gamma 90.00
_symmetry_space_group_name_H-M 'P m n 21'
_symmetry_Int_Tables_number 31
_symmetry_space_group_name_Hall 'P 2ac -2'
loop_
_atom_site_label
_atom_site_fract_x
_atom_site_fract_y
_atom_site_fract_z
_atom_site_occupancy
Pm1 0.000 0.130 0.000 1
Nd1 0.000 0.872 0.499 1
Nd2 0.250 0.129 0.337 1
Tm1 0.000 0.380 0.502 1
Tm2 0.000 0.620 0.002 1
Tm3 0.250 0.380 0.835 1